No. 1
Computed, not measured: a relaxed structure of K4Sm3SnTe8 at the PBE level of DFT.

Cell: 9.787 9.787 9.787 Å, 55.65 55.65 55.65°
Fractional positions:
K: 0.000 0.000 0.000
K: 0.000 0.500 0.500
K: 0.500 0.000 0.500
K: 0.500 0.500 0.000
Sm: 0.000 0.000 0.500
Sm: 0.000 0.500 0.000
Sm: 0.500 0.000 0.000
Sn: 0.500 0.500 0.500
Te: 0.238 0.238 0.238
Te: 0.240 0.734 0.734
Te: 0.266 0.266 0.760
Te: 0.266 0.760 0.266
Te: 0.734 0.240 0.734
Te: 0.734 0.734 0.240
Te: 0.760 0.266 0.266
Te: 0.762 0.762 0.762

symmetry = R-3m, No. 166
Fermi-level density of states = 0.17 states/eV/atom


No. 2
Computed, not measured: a relaxed structure of KSmSn2Te4 at the PBE level of DFT.

Cell: 8.003 4.557 8.004 Å, 90.00 108.25 90.00°
Fractional positions:
K: 0.000 0.000 0.000
Sm: 0.500 0.500 0.000
Sn: 0.000 0.500 0.500
Sn: 0.500 0.000 0.500
Te: 0.266 0.000 0.749
Te: 0.274 0.500 0.261
Te: 0.726 0.500 0.739
Te: 0.734 0.000 0.251

symmetry = P2/m, No. 10


Calculated energy (eV/atom), listed in the same order as above: -4.17; -4.06
Calculated total magnetization (μB/f.u.), listed in the same order as above: 0.00; 0.00